(1)
Entry from the Alexandria database: a relaxed AcSbPdF crystal (PBE).

Structure (POSCAR):
```
AcSbPdF
1.0
-2.577 0.147 3.844
2.407 -3.547 1.749
5.290 5.239 3.345
Ac Sb Pd F
2 2 2 2
Cartesian
2.310 3.638 4.197
2.895 -0.098 1.944
5.596 2.576 3.652
-0.390 0.963 2.490
-0.085 -1.700 2.797
0.000 0.000 0.000
2.645 2.620 1.672
2.560 0.920 4.469
```

Properties
M_tot	0.00	μB per cell
E_tot	-5.7601	eV per atom
formation energy without anion corrections	-1.936	eV/atom

***

(2)
Entry from the Alexandria database: a relaxed Te2AsH crystal (PBE).

Structure (POSCAR):
```
Te2AsH
1.0
0.000 3.477 3.477
3.477 0.000 3.477
3.477 3.477 0.000
H As Te
1 1 2
Cartesian
0.000 0.000 0.000
3.477 3.477 3.477
1.738 1.738 1.738
5.215 5.215 5.215
```

Properties
distance to the lowest polymorph of the same formula	0.5676	eV per atom
M_tot	0.00	μB per cell
E_tot	-2.9031	eV per atom

***

(3)
Entry from the Alexandria database: a relaxed MnNiS2 crystal (PBE).

Structure (POSCAR):
```
MnNiS2
1.0
0.000 2.883 2.883
2.883 0.000 2.883
2.883 2.883 0.000
Ni S Mn
1 2 1
Cartesian
2.883 2.883 2.883
1.441 1.441 1.441
4.324 4.324 4.324
0.000 0.000 0.000
```

Properties
distance to the lowest polymorph of the same formula	0.6109	eV per atom
M_tot	0.00	μB per cell
E_tot	-5.6312	eV per atom
formation energy without anion corrections	0.170	eV/atom

***

(4)
Entry from the Alexandria database: a relaxed Dy6Hg2Ru crystal (PBE).

Structure (POSCAR):
```
Dy6Hg2Ru
1.0
-2.723 0.642 2.675
0.569 -8.152 2.536
4.853 5.924 3.517
Dy Hg Ru
6 2 1
Cartesian
-1.019 -4.574 2.860
0.802 -0.527 3.743
2.119 -4.232 5.973
0.142 -2.028 0.631
4.136 -1.659 4.608
1.715 -6.708 3.356
3.406 1.252 3.167
2.012 -3.428 2.871
-1.353 0.198 1.376
```

Properties
distance to the lowest polymorph of the same formula	0.0000	eV per atom
M_tot	0.00	μB per cell
E_tot	-4.5027	eV per atom